SrTlCoF6: optimized geometry, GGA+U.

Raw total energy (eV per atom): -4.803
Total magnetization (μB/f.u.): 0.0

Cell lengths 7.4171, 8.0688, 9.9515 Å; angles 90.00, 90.00, 90.00 degrees
With the nearest neighbours (Å) after each atom.
Space group Imma (No. 74)
Asymmetric unit:
Sr (0.0000, 0.0000, 0.0000)  6 F 2.39-2.55
Tl (0.0000, 0.2500, 0.4024)  5 F 2.73-3.00
Co (0.2500, 0.2500, 0.7500)  6 F 1.85-1.96
F (0.0000, 0.2500, 0.1285)  2 Sr 2.39
F (0.0000, 0.2500, 0.8128)  2 Co 1.96
F (0.2132, 0.0875, 0.6216)  1 Co 1.85